(1)
4
Lattice="-6.8796 -0.4878 -0.7338 -5.4296 -3.0826 -3.0204 -2.3975 -4.1025 3.1351" Properties=species:S:1:pos:R:3 comment="Sr2ZrAu PBE relaxed" total_energy_ev_per_atom=-3.83 space_group="No. 44" polymorph_energy_mev_per_atom=82.3 formation_enthalpy_0k_ev_per_atom=-0.028 rho_kg_m3=5967 pbc="T T T"
Sr -11.0867 -5.7514 -0.5040
Sr -11.8943 -3.5928 -3.4656
Zr -7.9405 -3.8053 -0.7172
Au -3.4478 -1.9303 0.0040

(2)
8
Lattice="10.9194 0.0000 0.0000 0.0000 10.9194 0.0000 5.4597 5.4597 2.7119" Properties=species:S:1:pos:R:3 comment="Sr2ZrAu PBE relaxed" total_energy_ev_per_atom=-3.55 space_group="No. 122" polymorph_energy_mev_per_atom=361.2 formation_enthalpy_0k_ev_per_atom=0.251 rho_kg_m3=4760 pbc="T T T"
Zr 5.4597 5.4597 0.0000
Zr 5.4597 10.9194 1.3559
Au 0.0000 0.0000 0.0000
Au 10.9194 5.4597 1.3559
Sr 13.6492 4.1808 2.0339
Sr 8.1895 6.7386 2.0339
Sr 12.1983 8.1895 0.6780
Sr 9.6405 2.7298 0.6780

(3)
4
Lattice="0.0000 3.9753 3.9753 3.9753 0.0000 3.9753 3.9753 3.9753 0.0000" Properties=species:S:1:pos:R:3 comment="Sr2ZrAu PBE relaxed" total_energy_ev_per_atom=-3.48 space_group="No. 225" polymorph_energy_mev_per_atom=432.0 formation_enthalpy_0k_ev_per_atom=0.322 rho_kg_m3=6125 pbc="T T T"
Sr 5.9629 5.9629 5.9629
Sr 1.9876 1.9876 1.9876
Au 3.9753 3.9753 3.9753
Zr 0.0000 0.0000 0.0000

(4)
10
Lattice="-3.1199 -1.0297 -6.7661 -2.7240 -6.6347 2.2658 -4.1682 2.2507 1.5794" Properties=species:S:1:pos:R:3 comment="Sr2ZrAu2 PBE relaxed" total_energy_ev_per_atom=-4.07 space_group="No. 127" formation_enthalpy_0k_ev_per_atom=-0.376 rho_kg_m3=7764 pbc="T T T"
Au -1.4177 -2.5283 -0.1385
Au -4.4262 -5.1361 -4.3618
Au -3.4613 -6.0706 -0.4837
Au -2.3826 -1.5938 -4.0165
Sr -5.5698 -1.9151 -4.0763
Sr -6.4355 -5.0687 -1.8672
Sr -4.4423 -3.4986 1.1554
Sr -3.5766 -0.3450 -1.0536
Zr 0.0000 0.0000 0.0000
Zr -2.9219 -3.8322 -2.2501